Compound: MnTe3Rh
Source: Alexandria via LeMat-Bulk
Functional: GGA-PBE
Structure: relaxed

The structure in extended XYZ format:
```
5
Lattice="5.157 0.000 0.000 0.000 5.157 0.000 0.000 0.000 5.157" Properties=species:S:1:pos:R:3 pbc="T T T"
Mn 2.579 2.579 2.579
Te 2.579 0.000 0.000
Te 0.000 0.000 2.579
Te 0.000 2.579 0.000
Rh 0.000 0.000 0.000
```

Calculated values
Energy relative to the elements, uncorrected in eV/f.u.: 5.3
Mass density in kg/m3: 6546
Excess energy over the best structure of this formula in the dataset in meV per atom: 1214
DOS(E_F) in states/eV per atom: 1.680